VASP calculation (PBE) on a geometry-optimized SrZn2Re structure.

Cell: 4.788 4.788 4.788 Å, 60.00 60.00 60.00°
Fractional coordinates of all 4 atoms:
Re 0.500 0.500 0.500
Zn 0.750 0.750 0.750
Zn 0.250 0.250 0.250
Sr 0.000 0.000 0.000

* space-group type: Fm-3m (225)
* energy relative to the lowest polymorph listed for this composition: 276 meV/atom
* formation energy from the elements: 59 kJ/mol of atoms